1.
Entry from the Alexandria database: LiFe2BSe after structural relaxation (PBE).

Cell lengths 4.4106, 4.4106, 4.2909 Å; angles 90.00, 90.00, 90.00 degrees
Space group P4/mmm (No. 123)
Inequivalent atoms, fractional coordinates:
1 Li 0.0000 0.0000 0.0000
2 Fe 0.0000 0.5000 0.5000
3 B 0.5000 0.5000 0.0000
4 Se 0.5000 0.5000 0.5000

Computed properties:
V, Å³/cell: 83
ΔE_f (raw), eV per atom: 1.120
VASP energy, eV/cell: -23.40



2.
Entry from the Alexandria database: LiTi2FeB after structural relaxation (PBE).

Cell lengths 4.4377, 4.4377, 3.8910 Å; angles 90.00, 90.00, 90.00 degrees
Space group P4/mmm (No. 123)
Inequivalent atoms, fractional coordinates:
1 Li 0.0000 0.0000 0.0000
2 Ti 0.0000 0.5000 0.5000
3 Fe 0.5000 0.5000 0.5000
4 B 0.5000 0.5000 0.0000

Computed properties:
V, Å³/cell: 77
VASP energy, eV/cell: -30.73
ΔH_f (0 K), eV per atom: 0.422



3.
Entry from the Alexandria database: LuFe2B2 after structural relaxation (PBE).

Cell lengths 3.4630, 3.4630, 9.2171 Å; angles 90.00, 90.00, 90.00 degrees
Space group I4/mmm (No. 139)
Inequivalent atoms, fractional coordinates:
1 Lu 0.0000 0.0000 0.0000
2 Fe 0.0000 0.5000 0.2500
3 B 0.0000 0.0000 0.3891

Computed properties:
V, Å³/cell: 111
VASP energy, eV/cell: -74.33
ΔH_f (0 K), eV per atom: -0.473



4.
Entry from the Alexandria database: LuFeB after structural relaxation (PBE).

Cell lengths 3.4970, 3.4970, 3.9156 Å; angles 90.00, 90.00, 120.00 degrees
Space group P-6m2 (No. 187)
Inequivalent atoms, fractional coordinates:
1 Lu 0.0000 0.0000 0.0000
2 Fe 0.6667 0.3333 0.5000
3 B 0.3333 0.6667 0.5000

Computed properties:
V, Å³/cell: 41
VASP energy, eV/cell: -20.51
ΔH_f (0 K), eV per atom: -0.282



5.
Entry from the Alexandria database: LuFeB4 after structural relaxation (PBE).

Cell lengths 6.1091, 6.1091, 6.1091 Å; angles 90.00, 90.00, 90.00 degrees
Space group F-43m (No. 216)
Inequivalent atoms, fractional coordinates:
1 Lu 0.0000 0.0000 0.0000
2 Fe 0.2500 0.2500 0.7500
3 B 0.1439 0.1439 0.3561

Computed properties:
V, Å³/cell: 228
VASP energy, eV/cell: -147.90
Excess energy over the best structure of this formula in the dataset, eV per formula unit: 6.66
ΔH_f (0 K), eV per atom: 0.453



6.
Entry from the Alexandria database: Lu2FeB6 after structural relaxation (PBE).

Cell lengths 8.9612, 11.3165, 3.4738 Å; angles 90.00, 90.00, 90.00 degrees
Space group Pbam (No. 55)
Inequivalent atoms, fractional coordinates:
1 Lu 0.0569 0.1291 0.0000
2 Lu 0.1770 0.4145 0.0000
3 Fe 0.1385 0.6797 0.0000
4 B 0.0157 0.2881 0.5000
5 B 0.0539 0.5674 0.5000
6 B 0.1074 0.9706 0.5000
7 B 0.1316 0.8148 0.5000
8 B 0.2096 0.2343 0.5000
9 B 0.2472 0.5810 0.5000

Computed properties:
V, Å³/cell: 352
VASP energy, eV/cell: -255.19
ΔH_f (0 K), eV per atom: -0.692



Question: Which of these has the highest V?
Answer: Lu2FeB6